Below is a relaxed structure of Fe2BrCl8, with properties calculated at the PBE level.

## Properties
M_tot: 8.9 μB/cell
uncorrected formation energy: -441 meV/atom
electronic total energy: -38.22 eV per cell
space group: C2/m (12)
density of states at the Fermi level: 5.71 states/eV/f.u.

a b c (Å): 7.813 7.531 7.531
angles (deg): 61.65 96.30 96.30
Last column: magnetic moment on the atom in μB.
Atoms (fractional coordinates):
Fe  0.677  0.777  0.777  3.67
Fe  0.323  0.223  0.223  3.67
Br  0.000  0.000  0.000  -0.29
Cl  0.178  0.338  0.910  0.07
Cl  0.822  0.090  0.662  0.07
Cl  0.404  0.794  0.794  0.20
Cl  0.596  0.206  0.206  0.20
Cl  0.178  0.910  0.338  0.07
Cl  0.822  0.662  0.090  0.07
Cl  0.737  0.619  0.619  0.25
Cl  0.263  0.381  0.381  0.25

=====

Below is a relaxed structure of CeDyPtRh, with properties calculated at the PBE level.

## Properties
M_tot: 0.8 μB/cell
calculated formation energy: -0.905 eV/atom
excess energy over the best structure of this formula in the dataset: 2.74 kcal/mol of atoms
electronic total energy: -27.55 eV per cell
space group: F-43m (216)
density of states at the Fermi level: 7.51 states/eV/f.u.

a b c (Å): 4.954 4.954 4.954
angles (deg): 60.00 60.00 60.00
Last column: magnetic moment on the atom in μB.
Atoms (fractional coordinates):
Rh  0.250  0.250  0.250  -0.02
Ce  0.000  0.000  0.000  0.61
Pt  0.750  0.750  0.750  0.00
Dy  0.500  0.500  0.500  0.06

=====

Below is a relaxed structure of RbHfGeBr2, with properties calculated at the PBE level.

## Properties
M_tot: 1.1 μB/cell
uncorrected formation energy: 972 meV/atom
electronic total energy: -14.02 eV per cell
space group: P4/mmm (123)
density of states at the Fermi level: 6.71 states/eV/f.u.

a b c (Å): 5.830 5.917 5.830
angles (deg): 90.00 90.00 90.00
Last column: magnetic moment on the atom in μB.
Atoms (fractional coordinates):
Ge  0.000  0.500  0.000  0.14
Hf  0.500  0.500  0.500  0.48
Br  0.000  0.000  0.500  0.01
Br  0.500  0.000  0.000  0.01
Rb  0.000  0.000  0.000  0.00

=====

Below is a relaxed structure of Y2FeSb, with properties calculated at the PBE level.

## Properties
M_tot: 1.5 μB/cell
uncorrected formation energy: -141 meV/atom
electronic total energy: -26.08 eV per cell
space group: P4mm (99)
density of states at the Fermi level: 3.59 states/eV/f.u.

a b c (Å): 4.160 4.160 6.141
angles (deg): 90.00 90.00 90.00
Last column: magnetic moment on the atom in μB.
Atoms (fractional coordinates):
Fe  0.000  0.000  0.424  2.44
Sb  0.500  0.500  0.805  0.03
Y  0.000  0.000  0.957  -0.20
Y  0.500  0.500  0.314  -0.32

=====

Below is a relaxed structure of CuP2Se4, with properties calculated at the PBE level.

## Properties
M_tot: 0.0 μB/cell
uncorrected formation energy: 177 meV/atom
electronic total energy: -27.62 eV per cell
space group: I4/m (87)
density of states at the Fermi level: 2.11 states/eV/f.u.

a b c (Å): 6.071 6.071 6.071
angles (deg): 105.65 105.65 117.41
Atoms (fractional coordinates):
Cu  0.500  0.500  0.000
P  0.250  0.750  0.500
P  0.750  0.250  0.500
Se  0.337  0.197  0.534
Se  0.803  0.337  0.140
Se  0.197  0.663  0.860
Se  0.663  0.803  0.466

=====

Below is a relaxed structure of ReSbTe, with properties calculated at the PBE level.

## Properties
M_tot: 0.0 μB/cell
uncorrected formation energy: 330 meV/atom
excess energy over the best structure of this formula in the dataset: 5.38 kcal/mol of atoms
electronic total energy: -18.72 eV per cell
space group: P3m1 (156)
density of states at the Fermi level: 1.24 states/eV/f.u.

a b c (Å): 3.381 3.381 7.735
angles (deg): 90.00 90.00 120.00
Atoms (fractional coordinates):
Re  0.000  0.000  0.994
Sb  0.667  0.333  0.251
Te  0.333  0.667  0.755

=====

Below is a relaxed structure of ZnSbPb2W, with properties calculated at the PBE level.

## Properties
M_tot: 4.0 μB/cell
uncorrected formation energy: 1644 meV/atom
electronic total energy: -17.54 eV per cell
space group: P4/mmm (123)
density of states at the Fermi level: 3.36 states/eV/f.u.

a b c (Å): 5.917 4.845 5.917
angles (deg): 90.00 90.00 90.00
Last column: magnetic moment on the atom in μB.
Atoms (fractional coordinates):
Pb  0.000  0.000  0.500  -0.04
Pb  0.500  0.000  0.000  -0.07
Sb  0.000  0.000  0.000  -0.01
Zn  0.000  0.500  0.000  -0.01
W  0.500  0.500  0.500  3.14

=====

Below is a relaxed structure of YRhIO2, with properties calculated at the PBE level.

## Properties
M_tot: 0.5 μB/cell
uncorrected formation energy: -503 meV/atom
excess energy over the best structure of this formula in the dataset: 6.03 kcal/mol of atoms
electronic total energy: -27.80 eV per cell
space group: P4/mmm (123)
density of states at the Fermi level: 3.82 states/eV/f.u.

a b c (Å): 4.255 4.255 4.977
angles (deg): 90.00 90.00 90.00
Last column: magnetic moment on the atom in μB.
Atoms (fractional coordinates):
I  0.000  0.000  0.500  0.00
Y  0.500  0.500  0.500  0.00
Rh  0.000  0.000  0.000  0.31
O  0.000  0.500  0.000  0.06
O  0.500  0.000  0.000  0.06

=====

Below is a relaxed structure of AgRu3Rh, with properties calculated at the PBE level.

## Properties
M_tot: 3.1 μB/cell
calculated formation energy: 1.836 eV/atom
excess energy over the best structure of this formula in the dataset: 0.00 kcal/mol of atoms
electronic total energy: -28.85 eV per cell
space group: Pm-3m (221)
density of states at the Fermi level: 9.92 states/eV/f.u.

a b c (Å): 4.676 4.676 4.676
angles (deg): 90.00 90.00 90.00
Last column: magnetic moment on the atom in μB.
Atoms (fractional coordinates):
Ru  0.000  0.500  0.000  1.02
Ru  0.000  0.000  0.500  1.09
Ru  0.500  0.000  0.000  0.86
Rh  0.000  0.000  0.000  0.06
Ag  0.500  0.500  0.500  0.00

=====

Below is a relaxed structure of Er4Al16Pd3, with properties calculated at the PBE level.

## Properties
M_tot: 0.0 μB/cell
calculated formation energy: -0.553 eV/atom
electronic total energy: -106.44 eV per cell
space group: P4/mmm (123)
density of states at the Fermi level: 5.35 states/eV/f.u.

a b c (Å): 6.169 6.169 11.129
angles (deg): 90.00 90.00 90.00
Atoms (fractional coordinates):
Er  0.500  0.000  0.812
Er  0.000  0.500  0.188
Er  0.000  0.500  0.812
Er  0.500  0.000  0.188
Al  0.000  0.000  0.772
Al  0.286  0.286  0.000
Al  0.500  0.500  0.803
Al  0.714  0.286  0.000
Al  0.500  0.500  0.197
Al  0.714  0.714  0.000
Al  0.000  0.000  0.228
Al  0.743  0.743  0.625
Al  0.743  0.257  0.375
Al  0.257  0.257  0.625
Al  0.257  0.743  0.375
Al  0.286  0.714  0.000
Al  0.743  0.743  0.375
Al  0.743  0.257  0.625
Al  0.257  0.257  0.375
Al  0.257  0.743  0.625
Pd  0.000  0.500  0.500
Pd  0.000  0.000  0.000
Pd  0.500  0.000  0.500